No. 1
The following is a GGA-PBE calculation of a relaxed structure of V3PtN, from Alexandria.

```
V3PtN
1.0
-0.949 1.922 -3.600
7.434 -5.962 -5.143
-4.138 -4.177 -1.139
V N Pt
12 4 4
Direct
0.000 0.750 0.412
0.000 0.382 0.120
0.500 0.750 0.088
0.500 0.382 0.380
0.000 0.882 0.880
0.500 0.618 0.620
0.000 0.118 0.120
0.500 0.118 0.380
0.000 0.250 0.588
0.500 0.882 0.620
0.500 0.250 0.912
0.000 0.618 0.880
0.000 0.250 0.911
0.500 0.250 0.589
0.500 0.750 0.411
0.000 0.750 0.089
0.000 0.500 0.500
0.500 0.000 0.000
0.000 0.000 0.500
0.500 0.500 0.000
```

Output
The value obtained for the energy relative to the elements, uncorrected is -424 meV/atom. Its space group is Imma. The volume comes out at 271.8 Å³/cell.

***

No. 2
The following is a GGA-PBE calculation of a relaxed structure of V3PtN, from Alexandria.

```
V3PtN
1.0
-2.608 -0.676 -0.483
1.143 0.291 -6.577
0.482 -5.007 4.398
N V Pt
1 3 1
Direct
0.000 0.435 0.565
0.000 0.264 0.736
0.500 0.662 0.822
0.500 0.178 0.338
0.500 0.090 0.910
```

Output
The value obtained for the energy relative to the elements, uncorrected is 73 meV/atom. Its space group is Amm2. The volume comes out at 90.9 Å³/cell.

***

No. 3
The following is a GGA-PBE calculation of a relaxed structure of V3Pt2N, from Alexandria.

```
V3Pt2N
1.0
6.718 0.000 0.000
0.000 6.718 0.000
0.000 0.000 6.718
V N Pt
12 4 8
Direct
0.206 0.456 0.125
0.456 0.125 0.206
0.544 0.625 0.294
0.875 0.706 0.044
0.625 0.294 0.544
0.125 0.206 0.456
0.044 0.875 0.706
0.794 0.956 0.375
0.375 0.794 0.956
0.294 0.544 0.625
0.956 0.375 0.794
0.706 0.044 0.875
0.875 0.125 0.625
0.125 0.625 0.875
0.375 0.375 0.375
0.625 0.875 0.125
0.943 0.557 0.443
0.443 0.943 0.557
0.557 0.443 0.943
0.057 0.057 0.057
0.193 0.807 0.307
0.693 0.693 0.693
0.807 0.307 0.193
0.307 0.193 0.807
```

Output
The value obtained for the energy relative to the elements, uncorrected is -654 meV/atom. Its space group is P4_132. The volume comes out at 303.1 Å³/cell.

***

No. 4
The following is a GGA-PBE calculation of a relaxed structure of VPtN3, from Alexandria.

```
VPtN3
1.0
-0.501 -2.052 -3.292
1.176 -3.243 1.843
-3.697 -0.754 1.032
Pt V N
1 1 3
Direct
0.000 0.000 0.000
0.500 0.500 0.500
0.000 0.000 0.500
0.000 0.500 0.000
0.500 0.000 0.000
```

Output
The value obtained for the energy relative to the elements, uncorrected is 1643 meV/atom. Its space group is Pm-3m. The volume comes out at 59.8 Å³/cell.

***

No. 5
The following is a GGA-PBE calculation of a relaxed structure of V3PtN, from Alexandria.

```
V3PtN
1.0
3.294 -1.902 0.000
0.000 3.803 0.000
0.000 0.000 12.874
V Pt N
6 2 2
Direct
0.000 0.000 0.250
0.667 0.333 0.050
0.000 0.000 0.750
0.333 0.667 0.550
0.667 0.333 0.450
0.333 0.667 0.950
0.667 0.333 0.250
0.333 0.667 0.750
0.000 0.000 0.000
0.000 0.000 0.500
```

Output
The value obtained for the energy relative to the elements, uncorrected is 597 meV/atom. Its space group is P6_3/mmc. The volume comes out at 161.3 Å³/cell.

***

No. 6
The following is a GGA-PBE calculation of a relaxed structure of VPtN3, from Alexandria.

```
VPtN3
1.0
3.811 0.000 0.000
0.000 3.811 0.000
0.000 0.000 3.811
N V Pt
3 1 1
Direct
0.000 0.500 0.000
0.000 0.000 0.500
0.500 0.000 0.000
0.000 0.000 0.000
0.500 0.500 0.500
```

Output
The value obtained for the energy relative to the elements, uncorrected is 1053 meV/atom. Its space group is Pm-3m. The volume comes out at 55.4 Å³/cell.

***

No. 7
The following is a GGA-PBE calculation of a relaxed structure of V3PtN, from Alexandria.

```
V3PtN
1.0
2.785 -1.608 0.000
0.000 3.216 0.000
0.000 0.000 15.412
V N Pt
6 2 2
Direct
0.000 0.000 0.750
0.667 0.333 0.379
0.000 0.000 0.250
0.333 0.667 0.879
0.667 0.333 0.121
0.333 0.667 0.621
0.333 0.667 0.750
0.667 0.333 0.250
0.000 0.000 0.500
0.000 0.000 0.000
```

Output
The value obtained for the energy relative to the elements, uncorrected is -299 meV/atom. Its space group is P6_3/mmc. The volume comes out at 138.0 Å³/cell.

***

No. 8
The following is a GGA-PBE calculation of a relaxed structure of VPtN, from Alexandria.

```
VPtN
1.0
2.836 0.000 0.000
0.000 6.109 0.000
0.000 0.000 8.677
N Pt V
4 4 4
Direct
0.250 0.660 0.556
0.750 0.340 0.444
0.250 0.160 0.944
0.750 0.840 0.056
0.750 0.970 0.647
0.250 0.530 0.147
0.750 0.470 0.853
0.250 0.030 0.353
0.250 0.346 0.586
0.750 0.154 0.086
0.750 0.654 0.414
0.250 0.846 0.914
```

Output
The value obtained for the energy relative to the elements, uncorrected is -118 meV/atom. Its space group is Pnma. The volume comes out at 150.3 Å³/cell.

***

No. 9
The following is a GGA-PBE calculation of a relaxed structure of VPt2N2, from Alexandria.

```
VPt2N2
1.0
6.902 0.000 0.000
0.000 6.902 0.000
0.000 0.000 2.928
N V Pt
4 2 4
Direct
0.732 0.768 0.500
0.768 0.268 0.500
0.232 0.732 0.500
0.268 0.232 0.500
0.500 0.500 0.000
0.000 0.000 0.000
0.869 0.631 0.000
0.131 0.369 0.000
0.369 0.869 0.000
0.631 0.131 0.000
```

Output
The value obtained for the energy relative to the elements, uncorrected is 1172 meV/atom. As for the energy above the most stable polymorph in this dataset: 166.8 meV/atom. Its space group is P4/mbm. The volume comes out at 139.5 Å³/cell.

***

No. 10
The following is a GGA-PBE calculation of a relaxed structure of V3PtN, from Alexandria.

```
V3PtN
1.0
19.601 0.000 1.829
6.879 1.386 -1.893
-6.879 1.386 1.893
V N Pt
6 2 2
Direct
0.162 0.808 0.192
0.838 0.192 0.808
0.484 0.704 0.296
0.923 0.745 0.255
0.077 0.255 0.745
0.516 0.296 0.704
0.692 0.956 0.044
0.308 0.044 0.956
0.771 0.100 0.900
0.229 0.900 0.100
```

Output
The value obtained for the energy relative to the elements, uncorrected is -312 meV/atom. Its space group is C2/m. The volume comes out at 137.8 Å³/cell.

***

No. 11
The following is a GGA-PBE calculation of a relaxed structure of VPtW2N, from Alexandria.

```
VPtW2N
1.0
4.101 0.000 0.000
0.000 4.101 0.000
0.000 0.000 3.986
Pt N W V
1 1 2 1
Direct
0.500 0.500 0.500
0.000 0.000 0.000
0.000 0.500 0.000
0.500 0.000 0.000
0.000 0.000 0.500
```

Output
The value obtained for the energy relative to the elements, uncorrected is -334 meV/atom. Its space group is P4/mmm. The volume comes out at 67.0 Å³/cell.

***

No. 12
The following is a GGA-PBE calculation of a relaxed structure of Y2VPtN, from Alexandria.

```
Y2VPtN
1.0
-0.242 0.370 4.840
-0.721 -4.795 0.331
3.799 -0.555 0.232
N Pt V Y
1 1 1 2
Direct
0.000 0.000 0.000
0.500 0.500 0.500
0.000 0.000 0.500
0.500 0.000 0.000
0.000 0.500 0.000
```

Output
The value obtained for the energy relative to the elements, uncorrected is -1036 meV/atom. Its space group is P4/mmm. The volume comes out at 90.9 Å³/cell.

***

No. 13
The following is a GGA-PBE calculation of a relaxed structure of Zr2VPtN, from Alexandria.

```
Zr2VPtN
1.0
-0.032 -0.299 4.497
1.656 -4.183 -0.267
3.594 1.415 0.120
V Zr N Pt
1 2 1 1
Direct
0.000 0.000 0.500
0.500 0.000 0.000
0.000 0.500 0.000
0.000 0.000 0.000
0.500 0.500 0.500
```

Output
The value obtained for the energy relative to the elements, uncorrected is -1038 meV/atom. Its space group is P4/mmm. The volume comes out at 78.5 Å³/cell.

***

No. 14
The following is a GGA-PBE calculation of a relaxed structure of Pt2W2N, from Alexandria.

```
Pt2W2N
1.0
-3.969 4.405 1.263
-3.997 -4.145 1.895
1.538 0.280 3.857
W N Pt
4 2 4
Direct
0.649 0.851 0.500
0.351 0.149 0.500
0.149 0.649 0.500
0.851 0.351 0.500
0.500 0.500 0.000
0.000 0.000 0.000
0.845 0.655 0.000
0.345 0.845 0.000
0.155 0.345 0.000
0.655 0.155 0.000
```

Output
The value obtained for the energy relative to the elements, uncorrected is 1100 meV/atom. As for the energy above the most stable polymorph in this dataset: 0.0 meV/atom. Its space group is P4/mbm. The volume comes out at 152.9 Å³/cell.

***

No. 15
The following is a GGA-PBE calculation of a relaxed structure of Pt3WN, from Alexandria.

```
Pt3WN
1.0
-3.213 3.339 1.512
-3.637 -3.154 -0.763
0.456 -1.631 4.571
W Pt N
1 3 1
Direct
0.000 0.000 0.000
0.000 0.000 0.500
0.500 0.000 0.000
0.000 0.500 0.000
0.500 0.500 0.500
```

Output
The value obtained for the energy relative to the elements, uncorrected is 2224 meV/atom. As for the energy above the most stable polymorph in this dataset: 1319.3 meV/atom. Its space group is Pm-3m. The volume comes out at 115.8 Å³/cell.

***

No. 16
The following is a GGA-PBE calculation of a relaxed structure of PtWN2, from Alexandria.

```
PtWN2
1.0
-0.186 -3.404 1.916
-1.350 -0.108 3.669
-3.473 -1.630 0.758
Pt W N
1 1 2
Direct
0.500 0.500 0.500
0.000 0.000 0.000
0.250 0.250 0.250
0.750 0.750 0.750
```

Output
The value obtained for the energy relative to the elements, uncorrected is 1190 meV/atom. As for the energy above the most stable polymorph in this dataset: 1228.6 meV/atom. Its space group is Fm-3m. The volume comes out at 42.3 Å³/cell.

***

No. 17
The following is a GGA-PBE calculation of a relaxed structure of PtWN2, from Alexandria.

```
PtWN2
1.0
4.755 0.000 0.000
0.000 4.755 0.000
2.377 2.377 4.790
Pt N W
2 4 2
Direct
0.000 0.000 0.000
0.750 0.250 0.500
0.875 0.821 0.750
0.179 0.625 0.250
0.571 0.125 0.250
0.375 0.429 0.750
0.250 0.750 0.500
0.500 0.500 0.000
```

Output
The value obtained for the energy relative to the elements, uncorrected is 270 meV/atom. As for the energy above the most stable polymorph in this dataset: 308.8 meV/atom. Its space group is I-42d. The volume comes out at 108.3 Å³/cell.

***

No. 18
The following is a GGA-PBE calculation of a relaxed structure of Pt2WN, from Alexandria.

```
Pt2WN
1.0
-5.562 -1.292 0.707
1.285 -5.607 -0.137
-1.638 -3.431 4.253
W Pt N
2 4 2
Direct
0.750 0.250 0.500
0.000 0.000 0.000
0.186 0.625 0.250
0.564 0.125 0.250
0.375 0.436 0.750
0.875 0.814 0.750
0.250 0.750 0.500
0.500 0.500 0.000
```

Output
The value obtained for the energy relative to the elements, uncorrected is 945 meV/atom. Its space group is I-42d. The volume comes out at 132.4 Å³/cell.

***

No. 19
The following is a GGA-PBE calculation of a relaxed structure of Pt2W2N, from Alexandria.

```
Pt2W2N
1.0
3.596 0.000 0.000
0.000 3.596 0.000
1.798 1.798 6.618
N Pt W
1 2 2
Direct
0.000 0.000 0.000
0.401 0.401 0.199
0.599 0.599 0.801
0.750 0.250 0.500
0.250 0.750 0.500
```

Output
The value obtained for the energy relative to the elements, uncorrected is 1309 meV/atom. As for the energy above the most stable polymorph in this dataset: 209.0 meV/atom. Its space group is I4/mmm. The volume comes out at 85.6 Å³/cell.

***

No. 20
The following is a GGA-PBE calculation of a relaxed structure of PtWN2, from Alexandria.

```
PtWN2
1.0
-2.708 5.991 1.341
-3.257 4.483 3.784
-0.650 5.747 3.402
N W Pt
2 1 1
Direct
0.104 0.104 0.104
0.896 0.896 0.896
0.500 0.500 0.500
0.000 0.000 0.000
```

Output
The value obtained for the energy relative to the elements, uncorrected is -39 meV/atom. As for the energy above the most stable polymorph in this dataset: 0.0 meV/atom. Its space group is R-3m. The volume comes out at 48.0 Å³/cell.